1.
Compound: Sr5Al2Sn5
Source: the Alexandria database
Functional: PBE
Structure: relaxed

Results
Crystal system: monoclinic
ΔE_f: -0.49 eV per atom

Unit cell a=4.6133 b=8.8647 c=10.1645 alpha=86.56 beta=76.88 gamma=74.92
Closest atoms and distances in Å follow each position.
Atoms (fractional coordinates):
Sn 0.7488 0.3170 0.1853  2 Al 2.76
Sr 0.2986 0.0741 0.3287  5 Sn 3.41-3.55, 1 Al 3.57
Sr 0.5000 0.5000 0.5000  4 Al 3.43, 6 Sn 3.49-3.68
Sn 0.9435 0.7763 0.3368  1 Al 2.70
Al 0.8621 0.5202 0.7556  3 Sn 2.70-2.76
Sn 0.2512 0.6830 0.8147  2 Al 2.76
Sr 0.6091 0.7065 0.0752  3 Al 3.45-3.54, 7 Sn 3.47-3.52
Sn 0.0000 0.0000 0.0000  2 Sn 3.28, 4 Sr 3.49
Sn 0.0565 0.2237 0.6632  1 Al 2.70
Al 0.1379 0.4798 0.2444  3 Sn 2.70-2.76
Sr 0.7014 0.9259 0.6713  5 Sn 3.41-3.55, 1 Al 3.57
Sr 0.3909 0.2935 0.9248  3 Al 3.45-3.54, 7 Sn 3.47-3.52

2.
Compound: Dy3Cd2Hg4
Source: the Alexandria database
Functional: PBE
Structure: relaxed

Results
Crystal system: monoclinic
ΔE_f: -0.38 eV per atom

Unit cell a=4.9590 b=6.0238 c=9.2076 alpha=116.35 beta=90.00 gamma=114.31
Closest atoms and distances in Å follow each position.
Atoms (fractional coordinates):
Hg 0.7127 0.4255 0.0500  1 Cd 2.83, 2 Hg 2.90
Dy 0.0000 0.0000 0.0000  8 Hg 3.28-3.40, 4 Cd 3.36, 2 Dy 3.45
Hg 0.0639 0.1278 0.3943  2 Cd 2.84, 1 Hg 2.90
Cd 0.3873 0.7745 0.7187  3 Hg 2.83-2.84
Dy 0.6642 0.3284 0.6698  8 Hg 3.27-3.37, 4 Cd 3.28-3.36, 2 Dy 3.43-3.45
Hg 0.2873 0.5745 0.9500  1 Cd 2.83, 2 Hg 2.90
Hg 0.9361 0.8722 0.6057  2 Cd 2.84, 1 Hg 2.90
Dy 0.3358 0.6716 0.3302  8 Hg 3.27-3.37, 4 Cd 3.28-3.36, 2 Dy 3.43-3.45
Cd 0.6127 0.2255 0.2813  3 Hg 2.83-2.84

3.
Compound: Li2AcMgHg5
Source: the Alexandria database
Functional: PBE
Structure: relaxed

Results
Crystal system: tetragonal
ΔE_f: -0.29 eV per atom

Unit cell a=5.1512 b=5.1512 c=7.9877 alpha=90.00 beta=90.00 gamma=90.00
Closest atoms and distances in Å follow each position.
Atoms (fractional coordinates):
Hg 0.5000 0.0000 0.7882  2 Li 2.61
Li 0.5000 0.5000 0.8375  1 Li 2.60, 5 Hg 2.61-2.70
Hg 0.0000 0.5000 0.7882  2 Li 2.61
Hg 0.5000 0.5000 0.5000  2 Li 2.70
Li 0.5000 0.5000 0.1625  1 Li 2.60, 5 Hg 2.61-2.70
Hg 0.5000 0.0000 0.2118  2 Li 2.61
Mg 0.0000 0.0000 0.0000  8 Hg 3.08
Hg 0.0000 0.5000 0.2118  2 Li 2.61
Ac 0.0000 0.0000 0.5000  12 Hg 3.45-3.64

4.
Compound: ScAg
Source: the Alexandria database
Functional: PBE
Structure: relaxed

Results
Crystal system: orthorhombic
ΔE_f: -0.15 eV per atom

Unit cell a=5.7862 b=5.7862 c=5.7862 alpha=145.05 beta=131.73 gamma=60.98
Closest atoms and distances in Å follow each position.
Atoms (fractional coordinates):
Sc 0.1369 0.8869 0.7500  6 Ag 2.94-3.02, 4 Sc 3.24-3.27
Sc 0.8631 0.1131 0.2500  6 Ag 2.94-3.02, 4 Sc 3.24-3.27
Ag 0.3844 0.6344 0.2500  2 Ag 2.89, 6 Sc 2.94-3.02
Ag 0.6156 0.3656 0.7500  2 Ag 2.89, 6 Sc 2.94-3.02